! Co2NiSbO6 | the Alexandria database | PBE with a Hubbard U | optimized geometry; values from VASP
&SYSTEM
  ibrav = 0, nat = 10, ntyp = 4
/
ATOMIC_SPECIES
Co 58.93 Co.upf
Ni 58.69 Ni.upf
Sb 121.76 Sb.upf
O 16.00 O.upf
CELL_PARAMETERS angstrom
5.082 0.000 0.000
-2.535 4.432 0.000
-2.509 -1.494 4.675
ATOMIC_POSITIONS angstrom
Co 0.000 0.000 0.000
Co -2.505 1.466 2.549
Ni 0.019 2.959 1.889
Sb 0.031 -0.013 4.390
O -0.960 1.381 0.993
O -1.724 -0.199 3.440
O 1.674 0.146 0.982
O -1.472 2.989 3.438
O 0.759 1.605 3.444
O 1.851 2.910 0.984
! total moment	4.93	μB per formula unit
! SG	P1 (1)
! calculated total energy	-58.32	eV per cell
! ρ	6.2	Mg/m³